Below is an optimized crystal structure of K2TaOF5, with properties calculated at the GGA-PBE level.

Values from the calculation:
As for the volume: 164.7 Å³ per cell. For the total energy, the calculation gives -6.199 eV per atom. The density of states at the Fermi level is 0.0 states/eV/cell. Its magnetic moment is 0.017 μB per atom. As for the space group: No. 107.

abc: 6.349 6.349 6.349
angles: 125.18 125.18 81.24
Element x y z (fractional)
K 0.000 0.500 0.500
K 0.500 0.000 0.500
Ta 0.259 0.259 0.000
O 0.073 0.073 0.000
F 0.051 0.051 0.530
F 0.051 0.521 0.000
F 0.480 0.480 0.000
F 0.521 0.051 0.000
F 0.521 0.521 0.470

---

Below is an optimized crystal structure of Cu3GePb, with properties calculated at the GGA-PBE level.

Values from the calculation:
As for the volume: 118.1 Å³ per cell. The density of states at the Fermi level is 2.9 states/eV/cell. The calculation puts the calculated formation energy at 1041 meV/atom. Its magnetic moment is 0.000 μB per atom. As for the space group: No. 221.

abc: 4.906 4.906 4.906
angles: 90.00 90.00 90.00
Element x y z (fractional)
Cu 0.000 0.000 0.500
Cu 0.000 0.500 0.000
Cu 0.500 0.000 0.000
Ge 0.500 0.500 0.500
Pb 0.000 0.000 0.000

---

Below is an optimized crystal structure of K2ZnP4H8O16, with properties calculated at the GGA-PBE level.

Values from the calculation:
As for the volume: 377.2 Å³ per cell. For the total energy, the calculation gives -5.996 eV per atom. The density of states at the Fermi level is 0.0 states/eV/cell. Its magnetic moment is 0.000 μB per atom. As for the space group: No. 2.

abc: 6.991 7.478 7.624
angles: 80.85 73.82 84.12
Element x y z (fractional)
K 0.122 0.243 0.297
K 0.878 0.757 0.703
Zn 0.500 0.000 0.500
P 0.255 0.311 0.758
P 0.322 0.770 0.244
P 0.678 0.230 0.756
P 0.745 0.689 0.242
H 0.048 0.768 0.076
H 0.250 0.548 0.479
H 0.369 0.821 0.856
H 0.381 0.685 0.712
H 0.619 0.315 0.288
H 0.631 0.179 0.144
H 0.750 0.452 0.521
H 0.952 0.232 0.924
O 0.081 0.281 0.939
O 0.236 0.582 0.343
O 0.236 0.834 0.081
O 0.255 0.510 0.672
O 0.263 0.178 0.626
O 0.296 0.901 0.383
O 0.442 0.271 0.850
O 0.444 0.792 0.731
O 0.556 0.208 0.269
O 0.558 0.729 0.150
O 0.704 0.099 0.617
O 0.737 0.822 0.374
O 0.745 0.490 0.328
O 0.764 0.166 0.919
O 0.764 0.418 0.657
O 0.919 0.719 0.061

---

Question: What is the volume in the first record?
Answer: 164.7 Å³ per cell